No. 1
Material: LiTbTlIn
Method: DFT, GGA-PBE
State: optimized geometry

Geometry as POSCAR:
```
LiTbTlIn
1.0
0.000 3.654 3.654
3.654 0.000 3.654
3.654 3.654 0.000
Li Tb Tl In
1 1 1 1
direct
0.000 0.000 0.000
0.500 0.500 0.500
0.250 0.250 0.250
0.750 0.750 0.750
```

Summary:
Theoretical density: 8.26 g/cm³
Total energy: -3.26 eV per atom

No. 2
Material: MnGaCoRuS
Method: DFT, GGA-PBE
State: optimized geometry

Geometry as POSCAR:
```
MnGaCoRuS
1.0
4.162 0.000 0.000
2.070 3.831 0.000
0.960 1.194 4.325
Mn Ga Co Ru S
1 1 1 1 1
direct
0.000 0.000 0.000
0.692 0.821 0.673
0.358 0.415 0.788
0.989 0.324 0.405
0.454 0.474 0.219
```

Summary:
Theoretical density: 7.63 g/cm³
Formation energy from raw total energies: -0.106 eV/atom
Polymorph energy (0 for the lowest one): 130 meV/atom
Total energy: -6.65 eV per atom

No. 3
Material: La2AlCrC
Method: DFT, GGA-PBE
State: optimized geometry

Geometry as POSCAR:
```
La2AlCrC
1.0
5.375 0.000 0.000
0.000 5.375 0.000
0.000 0.000 3.913
La Al Cr C
2 1 1 1
direct
0.000 0.500 0.000
0.500 0.000 0.000
0.000 0.000 0.500
0.500 0.500 0.500
0.500 0.500 0.000
```

Summary:
Theoretical density: 5.42 g/cm³
Total energy: -6.59 eV per atom